[1]
## MgAl3F (GGA-PBE)

Data for a relaxed MgAl3F crystal.

N(E_F) = 2.77 states/eV per cell
Calculated total energy = -2.421 eV per atom
Spin magnetization = 0.00 μB/f.u.
Energy relative to the lowest polymorph listed for this composition = 0.757 eV per atom

a = 5.1704 Å, b = 5.1704 Å, c = 5.1704 Å
α = 90.00°, β = 90.00°, γ = 90.00°
Last column: nearest neighbours and their distance in Å.
Space group Pm-3m (No. 221)
One atom of each set of equivalent atoms:
1 Mg 0.0000 0.0000 0.0000 [1 per cell]  6 Al 2.59
2 Al 0.0000 0.0000 0.5000 [3 per cell]  2 Mg 2.59
3 F 0.5000 0.5000 0.5000 [1 per cell]  12 Al 3.66

[2]
## Mg2AlF (GGA-PBE)

Data for a relaxed Mg2AlF crystal.

N(E_F) = 10.88 states/eV per cell
Calculated total energy = -2.700 eV per atom
Spin magnetization = 0.00 μB/f.u.
Energy relative to the lowest polymorph listed for this composition = 0.429 eV per atom

a = 6.7191 Å, b = 6.7191 Å, c = 6.7191 Å
α = 90.00°, β = 90.00°, γ = 90.00°
Last column: nearest neighbours and their distance in Å.
Space group Fm-3m (No. 225)
One atom of each set of equivalent atoms:
1 Mg 0.2500 0.2500 0.2500 [8 per cell]  4 F 2.91, 4 Al 2.91
2 Al 0.0000 0.0000 0.0000 [4 per cell]  8 Mg 2.91
3 F 0.0000 0.0000 0.5000 [4 per cell]  8 Mg 2.91

[3]
## Mg2AlF (GGA-PBE)

Data for a relaxed Mg2AlF crystal.

N(E_F) = 4.25 states/eV per cell
Calculated total energy = -3.129 eV per atom
Spin magnetization = 0.00 μB/f.u.
Energy relative to the lowest polymorph listed for this composition = 0.000 eV per atom

a = 6.4957 Å, b = 6.4957 Å, c = 7.1166 Å
α = 90.00°, β = 90.00°, γ = 90.00°
Last column: nearest neighbours and their distance in Å.
Space group I-42d (No. 122)
One atom of each set of equivalent atoms:
1 Mg 0.1555 0.2500 0.1250 [8 per cell]  2 F 2.11
2 Al 0.0000 0.0000 0.5000 [4 per cell]  4 Mg 2.90
3 F 0.0000 0.0000 0.0000 [4 per cell]  4 Mg 2.11

[4]
## MgAl2F8 (GGA-PBE)

Data for a relaxed MgAl2F8 crystal.

N(E_F) = 0.00 states/eV per cell
Calculated total energy = -5.566 eV per atom
Spin magnetization = 0.00 μB/f.u.

a = 7.4505 Å, b = 6.8143 Å, c = 4.9856 Å
α = 90.00°, β = 102.39°, γ = 90.00°
Last column: nearest neighbours and their distance in Å.
Space group C2/m (No. 12)
One atom of each set of equivalent atoms:
1 Mg 0.0000 0.0000 0.0000 [2 per cell]  6 F 1.94-2.07
2 Al 0.1968 0.5000 0.4824 [4 per cell]  5 F 1.74-1.88
3 F 0.0377 0.5000 0.7297 [4 per cell]  2 Al 1.84-1.88
4 F 0.1542 0.1756 0.3011 [8 per cell]  1 Al 1.82
5 F 0.1887 0.0000 0.7867 [4 per cell]  1 Al 1.74, 1 Mg 1.94

[5]
## MgAlF3 (GGA-PBE)

Data for a relaxed MgAlF3 crystal.

N(E_F) = 0.00 states/eV per cell
Calculated total energy = -4.730 eV per atom
Spin magnetization = 0.00 μB/f.u.
Energy relative to the lowest polymorph listed for this composition = 0.000 eV per atom

a = 4.0544 Å, b = 4.0544 Å, c = 4.0544 Å
α = 90.00°, β = 90.00°, γ = 90.00°
Last column: nearest neighbours and their distance in Å.
Space group Pm-3m (No. 221)
One atom of each set of equivalent atoms:
1 Mg 0.0000 0.0000 0.0000 [1 per cell]  6 F 2.03
2 Al 0.5000 0.5000 0.5000 [1 per cell]  12 F 2.87
3 F 0.0000 0.0000 0.5000 [3 per cell]  2 Mg 2.03

[6]
## Mg3AlF (GGA-PBE)

Data for a relaxed Mg3AlF crystal.

N(E_F) = 1.82 states/eV per cell
Calculated total energy = -2.809 eV per atom
Spin magnetization = 0.00 μB/f.u.
Energy relative to the lowest polymorph listed for this composition = 0.000 eV per atom

a = 4.4979 Å, b = 4.4979 Å, c = 4.4979 Å
α = 90.00°, β = 90.00°, γ = 90.00°
Last column: nearest neighbours and their distance in Å.
Space group Pm-3m (No. 221)
One atom of each set of equivalent atoms:
1 Mg 0.0000 0.0000 0.5000 [3 per cell]  2 F 2.25
2 Al 0.5000 0.5000 0.5000 [1 per cell]  12 Mg 3.18
3 F 0.0000 0.0000 0.0000 [1 per cell]  6 Mg 2.25

Number 2 is which compound? Mg2AlF